Crystalline MnCoNi at its relaxed geometry. Source: Alexandria via LeMat-Bulk, functional GGA-PBE.

The structure belongs to space group F-43m (No. 216); the cell edges are 5.528, 5.528 and 5.528 Å and the angles 90.00°, 90.00° and 90.00°. The inequivalent atoms are Mn at (0.000, 0.000, 0.000), Co at (0.000, 0.000, 0.500) and Ni at (0.250, 0.250, 0.750).

For the polymorph energy (0 for the lowest one), the calculation gives 449 meV per atom.

=====

Crystalline MgSiOs at its relaxed geometry. Source: Alexandria via LeMat-Bulk, functional GGA-PBE.

The structure belongs to space group C2/m (No. 12); the cell edges are 5.961, 7.402 and 5.572 Å and the angles 90.00°, 122.27° and 90.00°. The inequivalent atoms are Mg at (0.000, 0.248, 0.000), Si at (0.200, 0.000, 0.505) and Os at (0.000, 0.287, 0.500).

For the total energy, the calculation gives -6.31 eV/atom.

=====

Crystalline PuMnPtAu at its relaxed geometry. Source: Alexandria via LeMat-Bulk, functional GGA-PBE.

The structure belongs to space group F-43m (No. 216); the cell edges are 6.834, 6.834 and 6.834 Å and the angles 90.00°, 90.00° and 90.00°. The inequivalent atoms are Pu at (0.000, 0.000, 0.000), Mn at (0.000, 0.000, 0.500), Pt at (0.250, 0.250, 0.250) and Au at (0.250, 0.250, 0.750).

For the total energy, the calculation gives -8.44 eV/atom.